<P>
Here is an optimized crystal structure of Ag3AsSe3 from Alexandria via LeMat-Bulk. Energies are from GGA-PBEsol.

Computed properties:
As for the magnetic moment: 0.00 μB per cell. For the density, the calculation gives 6.82 g cm⁻³. The space group is R3c.

Cell lengths 7.108, 7.108, 7.108 Å; angles 105.67, 105.67, 105.67 degrees
Atoms (fractional coordinates):
Ag: 0.069 0.302 0.629
Ag: 0.129 0.802 0.569
Ag: 0.302 0.629 0.069
Ag: 0.569 0.129 0.802
Ag: 0.629 0.069 0.302
Ag: 0.802 0.569 0.129
As: 0.007 0.007 0.007
As: 0.507 0.507 0.507
Se: 0.248 0.947 0.284
Se: 0.284 0.248 0.947
Se: 0.447 0.748 0.784
Se: 0.748 0.784 0.447
Se: 0.784 0.447 0.748
Se: 0.947 0.284 0.248


<Q>
Here is an optimized crystal structure of Ag3AsSe3 from Alexandria via LeMat-Bulk. Energies are from GGA-PBEsol.

Computed properties:
As for the magnetic moment: 0.00 μB per cell. For the density, the calculation gives 6.94 g cm⁻³. The space group is Pnma.

Cell lengths 7.862, 11.309, 20.535 Å; angles 90.00, 90.00, 90.00 degrees
Atoms (fractional coordinates):
Ag: 0.118 0.037 0.059
Ag: 0.118 0.463 0.059
Ag: 0.149 0.609 0.284
Ag: 0.149 0.891 0.284
Ag: 0.164 0.516 0.676
Ag: 0.164 0.984 0.676
Ag: 0.223 0.250 0.131
Ag: 0.224 0.069 0.445
Ag: 0.224 0.431 0.445
Ag: 0.276 0.569 0.945
Ag: 0.276 0.931 0.945
Ag: 0.277 0.750 0.631
Ag: 0.336 0.016 0.176
Ag: 0.336 0.484 0.176
Ag: 0.351 0.109 0.784
Ag: 0.351 0.391 0.784
Ag: 0.382 0.537 0.559
Ag: 0.382 0.963 0.559
Ag: 0.618 0.037 0.441
Ag: 0.618 0.463 0.441
Ag: 0.649 0.609 0.216
Ag: 0.649 0.891 0.216
Ag: 0.664 0.516 0.824
Ag: 0.664 0.984 0.824
Ag: 0.723 0.250 0.369
Ag: 0.724 0.069 0.055
Ag: 0.724 0.431 0.055
Ag: 0.776 0.569 0.555
Ag: 0.776 0.931 0.555
Ag: 0.777 0.750 0.869
Ag: 0.836 0.016 0.324
Ag: 0.836 0.484 0.324
Ag: 0.851 0.109 0.716
Ag: 0.851 0.391 0.716
Ag: 0.882 0.537 0.941
Ag: 0.882 0.963 0.941
As: 0.213 0.250 0.297
As: 0.227 0.250 0.946
As: 0.236 0.750 0.104
As: 0.264 0.250 0.604
As: 0.273 0.750 0.446
As: 0.287 0.750 0.797
As: 0.713 0.250 0.203
As: 0.727 0.250 0.554
As: 0.736 0.750 0.396
As: 0.764 0.250 0.896
As: 0.773 0.750 0.054
As: 0.787 0.750 0.703
Se: 0.004 0.250 0.031
Se: 0.050 0.250 0.396
Se: 0.067 0.099 0.233
Se: 0.067 0.401 0.233
Se: 0.098 0.082 0.564
Se: 0.098 0.418 0.564
Se: 0.123 0.090 0.877
Se: 0.123 0.410 0.877
Se: 0.132 0.250 0.713
Se: 0.368 0.750 0.213
Se: 0.377 0.590 0.377
Se: 0.377 0.910 0.377
Se: 0.402 0.582 0.064
Se: 0.402 0.918 0.064
Se: 0.433 0.599 0.733
Se: 0.433 0.901 0.733
Se: 0.450 0.750 0.896
Se: 0.496 0.750 0.531
Se: 0.504 0.250 0.469
Se: 0.550 0.250 0.104
Se: 0.567 0.099 0.267
Se: 0.567 0.401 0.267
Se: 0.598 0.082 0.936
Se: 0.598 0.418 0.936
Se: 0.623 0.090 0.623
Se: 0.623 0.410 0.623
Se: 0.632 0.250 0.787
Se: 0.868 0.750 0.287
Se: 0.877 0.590 0.123
Se: 0.877 0.910 0.123
Se: 0.902 0.582 0.436
Se: 0.902 0.918 0.436
Se: 0.933 0.599 0.767
Se: 0.933 0.901 0.767
Se: 0.950 0.750 0.604
Se: 0.996 0.750 0.969


Computed stability ranking, most favorable first: <Q>, <P>


<P>
Here is an optimized crystal structure of AgTe2AsSe from Alexandria via LeMat-Bulk. Energies are from GGA-PBEsol.

Computed properties:
As for the magnetic moment: 0.00 μB per cell. For the density, the calculation gives 6.31 g cm⁻³. The space group is P4/mmm.

Cell lengths 5.306, 5.306, 4.831 Å; angles 90.00, 90.00, 90.00 degrees
Atoms (fractional coordinates):
Ag: 0.000 0.000 0.000
Te: 0.000 0.500 0.000
Te: 0.500 0.000 0.000
As: 0.500 0.500 0.500
Se: 0.000 0.000 0.500


<Q>
Here is an optimized crystal structure of AgTe2AsSe from Alexandria via LeMat-Bulk. Energies are from GGA-PBEsol.

Computed properties:
As for the magnetic moment: 0.00 μB per cell. For the density, the calculation gives 6.03 g cm⁻³. The space group is P4/mmm.

Cell lengths 5.497, 5.497, 4.711 Å; angles 90.00, 90.00, 90.00 degrees
Atoms (fractional coordinates):
Ag: 0.000 0.000 0.000
Te: 0.000 0.500 0.500
Te: 0.500 0.000 0.500
As: 0.500 0.500 0.000
Se: 0.000 0.000 0.500


Computed stability ranking, most favorable first: <Q>, <P>


<P>
Here is an optimized crystal structure of AgAs2W from Alexandria via LeMat-Bulk. Energies are from GGA-PBEsol.

Computed properties:
As for the magnetic moment: 0.00 μB per cell. For the density, the calculation gives 10.70 g cm⁻³. The space group is R-3m.

Cell lengths 8.383, 8.383, 8.383 Å; angles 21.37, 21.37, 21.37 degrees
Atoms (fractional coordinates):
Ag: 0.000 0.000 0.000
As: 0.242 0.242 0.242
As: 0.758 0.758 0.758
W: 0.500 0.500 0.500


<Q>
Here is an optimized crystal structure of AgAs2W from Alexandria via LeMat-Bulk. Energies are from GGA-PBEsol.

Computed properties:
As for the magnetic moment: 0.00 μB per cell. For the density, the calculation gives 10.99 g cm⁻³. The space group is P4mm.

Cell lengths 3.526, 3.526, 5.367 Å; angles 90.00, 90.00, 90.00 degrees
Atoms (fractional coordinates):
Ag: 0.000 0.000 0.000
As: 0.000 0.000 0.514
As: 0.500 0.500 0.154
W: 0.500 0.500 0.678


Computed stability ranking, most favorable first: <P>, <Q>


<P>
Here is an optimized crystal structure of ZnAg2As from Alexandria via LeMat-Bulk. Energies are from GGA-PBEsol.

Computed properties:
As for the magnetic moment: 0.00 μB per cell. For the density, the calculation gives 8.97 g cm⁻³. The space group is Pmm2.

Cell lengths 3.100, 3.808, 5.583 Å; angles 90.00, 90.00, 90.00 degrees
Atoms (fractional coordinates):
Zn: 0.000 0.000 0.000
Ag: 0.000 0.000 0.493
Ag: 0.500 0.500 0.230
As: 0.500 0.500 0.742


<Q>
Here is an optimized crystal structure of ZnAg2As from Alexandria via LeMat-Bulk. Energies are from GGA-PBEsol.

Computed properties:
As for the magnetic moment: 0.00 μB per cell. For the density, the calculation gives 8.95 g cm⁻³. The space group is Cmmm.

Cell lengths 4.977, 4.977, 2.852 Å; angles 90.00, 90.00, 110.83 degrees
Atoms (fractional coordinates):
Zn: 0.000 0.000 0.000
Ag: 0.000 0.500 0.500
Ag: 0.500 0.000 0.500
As: 0.500 0.500 0.000


Computed stability ranking, most favorable first: <P>, <Q>